# Sr2TaRh, relaxed, DFT GGA-PBEsol
data_Sr2TaRh
_cell_length_a 4.114
_cell_length_b 4.114
_cell_length_c 5.256
_cell_angle_alpha 90.00
_cell_angle_beta 90.00
_cell_angle_gamma 90.00
_space_group_name_H-M_alt 'P 4/m m m'
_space_group_IT_number 123
_space_group_name_Hall '-P 4 2'
loop_
_atom_site_label
_atom_site_type_symbol
_atom_site_fract_x
_atom_site_fract_y
_atom_site_fract_z
Sr1 Sr 0.000 0.500 0.000
Ta1 Ta 0.000 0.000 0.500
Rh1 Rh 0.500 0.500 0.500
# Relative energy among the computed polymorphs: 0 meV per atom
# E_form: 0.79 eV/atom

---

# KYZr2Ga, relaxed, DFT GGA-PBEsol
data_KYZr2Ga
_cell_length_a 5.214
_cell_length_b 5.214
_cell_length_c 5.383
_cell_angle_alpha 90.00
_cell_angle_beta 90.00
_cell_angle_gamma 90.00
_space_group_name_H-M_alt 'P 4/m m m'
_space_group_IT_number 123
_space_group_name_Hall '-P 4 2'
loop_
_atom_site_label
_atom_site_type_symbol
_atom_site_fract_x
_atom_site_fract_y
_atom_site_fract_z
K1 K 0.000 0.000 0.000
Y1 Y 0.000 0.000 0.500
Zr1 Zr 0.000 0.500 0.500
Ga1 Ga 0.500 0.500 0.000
# E_form: 1.45 eV/atom

---

# RePb2Cl, relaxed, DFT GGA-PBEsol
data_RePb2Cl
_cell_length_a 6.971
_cell_length_b 6.971
_cell_length_c 6.971
_cell_angle_alpha 90.00
_cell_angle_beta 90.00
_cell_angle_gamma 90.00
_space_group_name_H-M_alt 'F -4 3 m'
_space_group_IT_number 216
_space_group_name_Hall 'F -4 2 3'
loop_
_atom_site_label
_atom_site_type_symbol
_atom_site_fract_x
_atom_site_fract_y
_atom_site_fract_z
Re1 Re 0.000 0.000 0.000
Pb1 Pb 0.000 0.000 0.500
Pb2 Pb 0.250 0.250 0.750
Cl1 Cl 0.250 0.250 0.250
# Raw formation energy: 375.2 kJ/mol of formula units

---

The records above give, respectively, E_tot values of -5.305, -4.440, -4.862 eV/atom.